# Er12Tm7Th | Alexandria via LeMat-Bulk | PBE | relaxed
data_Er12Tm7Th
_chemical_formula_sum 'Er36 Tm21 Th3'
_cell_length_a 12.0647
_cell_length_b 12.0647
_cell_length_c 15.1101
_cell_angle_alpha 90.00
_cell_angle_beta 90.00
_cell_angle_gamma 120.00
_symmetry_space_group_name_H-M 'R -3'
_symmetry_Int_Tables_number 148
_symmetry_space_group_name_Hall '-R 3'
loop_
_atom_site_label
_atom_site_fract_x
_atom_site_fract_y
_atom_site_fract_z
_atom_site_occupancy
Er1 0.0139 0.4449 0.2040 1
Er2 0.0573 0.5870 0.5888 1
Tm1 0.0000 0.0000 0.0000 1
Tm2 0.0404 0.1859 0.3056 1
Th1 0.0000 0.0000 0.5000 1
# - Formation enthalpy at 0 K: 0.2416 eV/atom
# - Fermi-level density of states: 1.990 states/eV per atom
# - Relative energy among the computed polymorphs: 0 meV per atom
# - Crystal system: trigonal
# - Calculated volume: 1904.7 Å³/cell